Density functional theory data (GGA+U) for a relaxed RbV2PO8 crystal.

Calculated values
**Total magnetization**: 0.0 μB/cell
**Space group**: No. 12
**DOS at the Fermi energy**: 0.0 states/eV/cell
**Raw total energy**: -83.64 eV/cell

Structure (POSCAR):
```
RbV2PO8
1.0
4.331 -2.660 0.000
4.331 2.660 0.000
-0.476 0.000 8.133
Rb V P O
1 2 1 8
direct
0.000 0.000 0.000 Rb
0.362 0.362 0.680 V
0.638 0.638 0.320 V
0.000 0.000 0.500 P
0.195 0.195 0.550 O
0.199 0.752 0.647 O
0.248 0.801 0.353 O
0.324 0.324 0.875 O
0.676 0.676 0.125 O
0.752 0.199 0.647 O
0.801 0.248 0.353 O
0.805 0.805 0.450 O
```